Crystalline HoCd3Hg at its relaxed geometry. Source: Alexandria, functional PBE.

Structure (CIF):
```
data_HoCd3Hg
_cell_length_a 4.848
_cell_length_b 7.090
_cell_length_c 6.950
_cell_angle_alpha 90.00
_cell_angle_beta 90.00
_cell_angle_gamma 90.00
_space_group_name_H-M_alt 'P m m n'
_space_group_IT_number 59
loop_
_space_group_symop_operation_xyz
'x,y,z'
'-x,-y,-z'
'-x+1/2,-y+1/2,z'
'x+1/2,y+1/2,-z'
'x+1/2,-y,-z'
'-x+1/2,y,z'
'-x,y+1/2,-z'
'x,-y+1/2,z'
loop_
_atom_site_label
_atom_site_type_symbol
_atom_site_fract_x
_atom_site_fract_y
_atom_site_fract_z
Ho1 Ho 0.250 0.250 0.236
Cd1 Cd 0.250 0.051 0.741
Cd2 Cd 0.250 0.750 0.454
Hg1 Hg 0.250 0.750 0.043
```



Crystalline SrY2Ge2 at its relaxed geometry. Source: Alexandria, functional PBE.

Structure (CIF):
```
data_SrY2Ge2
_cell_length_a 4.788
_cell_length_b 4.788
_cell_length_c 12.530
_cell_angle_alpha 90.00
_cell_angle_beta 90.00
_cell_angle_gamma 90.00
_space_group_name_H-M_alt 'I 4/m m m'
_space_group_IT_number 139
_space_group_name_Hall '-I 4 2'
loop_
_atom_site_label
_atom_site_type_symbol
_atom_site_fract_x
_atom_site_fract_y
_atom_site_fract_z
Sr1 Sr 0.000 0.000 0.000
Y1 Y 0.000 0.500 0.250
Ge1 Ge 0.000 0.000 0.392
```



# NbS2BrN | Alexandria | PBE | optimized geometry
data_NbS2BrN
_cell_length_a 4.925
_cell_length_b 4.925
_cell_length_c 3.644
_cell_angle_alpha 90.00
_cell_angle_beta 90.00
_cell_angle_gamma 90.00
_space_group_name_H-M_alt 'P 4/m m m'
_space_group_IT_number 123
_space_group_name_Hall '-P 4 2'
loop_
_atom_site_label
_atom_site_type_symbol
_atom_site_fract_x
_atom_site_fract_y
_atom_site_fract_z
Nb1 Nb 0.000 0.000 0.000
S1 S 0.000 0.500 0.500
Br1 Br 0.500 0.500 0.500
N1 N 0.500 0.500 0.000
# **Uncorrected formation energy**: 1.55 eV per atom



Crystalline TaBeAs2 at its relaxed geometry. Source: Alexandria, functional PBE.

Structure (CIF):
```
data_TaBeAs2
_cell_length_a 5.649
_cell_length_b 5.649
_cell_length_c 10.618
_cell_angle_alpha 90.00
_cell_angle_beta 90.00
_cell_angle_gamma 90.00
_space_group_name_H-M_alt 'I -4 2 d'
_space_group_IT_number 122
_space_group_name_Hall 'I -4 2bw'
loop_
_atom_site_label
_atom_site_type_symbol
_atom_site_fract_x
_atom_site_fract_y
_atom_site_fract_z
Ta1 Ta 0.000 0.000 0.000
Be1 Be 0.000 0.000 0.500
As1 As 0.214 0.250 0.625
```



Crystalline Mg2P2Au at its relaxed geometry. Source: Alexandria, functional PBE.

Structure (CIF):
```
data_Mg2P2Au
_cell_length_a 4.599
_cell_length_b 4.599
_cell_length_c 9.190
_cell_angle_alpha 90.00
_cell_angle_beta 90.00
_cell_angle_gamma 90.00
_space_group_name_H-M_alt 'I 4/m m m'
_space_group_IT_number 139
_space_group_name_Hall '-I 4 2'
loop_
_atom_site_label
_atom_site_type_symbol
_atom_site_fract_x
_atom_site_fract_y
_atom_site_fract_z
Mg1 Mg 0.000 0.500 0.250
P1 P 0.000 0.000 0.118
Au1 Au 0.000 0.000 0.500
```



Crystalline Tb6ErTm5 at its relaxed geometry. Source: Alexandria, functional PBE.

Structure (CIF):
```
data_Tb6ErTm5
_cell_length_a 6.094
_cell_length_b 10.572
_cell_length_c 11.628
_cell_angle_alpha 90.00
_cell_angle_beta 100.11
_cell_angle_gamma 90.00
_space_group_name_H-M_alt 'C 1 2/m 1'
_space_group_IT_number 12
loop_
_space_group_symop_operation_xyz
'x,y,z'
'-x,-y,-z'
'-x,y,-z'
'x,-y,z'
'x+1/2,y+1/2,z'
'-x+1/2,-y+1/2,-z'
'-x+1/2,y+1/2,-z'
'x+1/2,-y+1/2,z'
loop_
_atom_site_label
_atom_site_type_symbol
_atom_site_fract_x
_atom_site_fract_y
_atom_site_fract_z
Tb1 Tb 0.250 0.000 0.250
Tb2 Tb 0.250 0.167 0.750
Er1 Er 0.000 0.000 0.500
Tm1 Tm 0.000 0.167 0.000
Tm2 Tm 0.000 0.333 0.500
Tm3 Tm 0.000 0.500 0.000
```



Crystalline TlCr2Re at its relaxed geometry. Source: Alexandria, functional PBE.

Structure (CIF):
```
data_TlCr2Re
_cell_length_a 3.034
_cell_length_b 4.677
_cell_length_c 8.791
_cell_angle_alpha 90.00
_cell_angle_beta 90.00
_cell_angle_gamma 90.00
_space_group_name_H-M_alt 'C m m 2'
_space_group_IT_number 35
loop_
_space_group_symop_operation_xyz
'x,y,z'
'-x,-y,z'
'-x,y,z'
'x,-y,z'
'x+1/2,y+1/2,z'
'-x+1/2,-y+1/2,z'
'-x+1/2,y+1/2,z'
'x+1/2,-y+1/2,z'
loop_
_atom_site_label
_atom_site_type_symbol
_atom_site_fract_x
_atom_site_fract_y
_atom_site_fract_z
Tl1 Tl 0.000 0.000 0.000
Cr1 Cr 0.000 0.000 0.524
Cr2 Cr 0.000 0.500 0.723
Re1 Re 0.000 0.500 0.295
```



Crystalline KZr2Ru at its relaxed geometry. Source: Alexandria, functional PBE.

Structure (CIF):
```
data_KZr2Ru
_cell_length_a 3.336
_cell_length_b 3.336
_cell_length_c 9.285
_cell_angle_alpha 90.00
_cell_angle_beta 90.00
_cell_angle_gamma 90.00
_space_group_name_H-M_alt 'P 4 m m'
_space_group_IT_number 99
loop_
_space_group_symop_operation_xyz
'x,y,z'
'-y,x,z'
'-x,-y,z'
'y,-x,z'
'-x,y,z'
'y,x,z'
'x,-y,z'
'-y,-x,z'
loop_
_atom_site_label
_atom_site_type_symbol
_atom_site_fract_x
_atom_site_fract_y
_atom_site_fract_z
K1 K 0.000 0.000 0.000
Zr1 Zr 0.000 0.000 0.414
Zr2 Zr 0.500 0.500 0.630
Ru1 Ru 0.500 0.500 0.278
```



Calculated calculated total energy in order - -8.4, -26.6, -20.6, -24.2, -18.3, -54.5, -31.3, -26.4 eV/f.u.
Calculated magnetic moment in order - 0.00, 0.00, 2.10, 0.00, 0.00, 0.00, 0.02, 0.00 μB per cell